Record 1
Below is a geometry-optimized ScNi2 structure, with properties calculated at the PBE level.

a b c (Å): 3.744 3.744 12.075
angles (deg): 98.92 98.92 90.00
Element x y z (fractional)
1 Ni 0.250 0.250 0.500
2 Ni 0.750 0.750 0.500
3 Ni 0.500 0.000 0.000
4 Ni 0.000 0.500 0.000
5 Ni 0.420 0.420 0.841
6 Ni 0.580 0.580 0.159
7 Ni 0.670 0.170 0.341
8 Ni 0.830 0.330 0.659
9 Sc 0.076 0.076 0.151
10 Sc 0.924 0.924 0.849
11 Sc 0.326 0.826 0.651
12 Sc 0.174 0.674 0.349

## Properties
formation energy	-1.29	eV per formula unit


Record 2
Below is a geometry-optimized ScNi2 structure, with properties calculated at the PBE level.

a b c (Å): 5.879 5.879 5.879
angles (deg): 90.00 90.00 90.00
Element x y z (fractional)
1 Sc 0.000 0.000 0.000
2 Sc 0.500 0.500 0.000
3 Sc 0.500 0.000 0.500
4 Sc 0.000 0.500 0.500
5 Ni 0.389 0.389 0.389
6 Ni 0.611 0.611 0.611
7 Ni 0.889 0.111 0.611
8 Ni 0.111 0.889 0.389
9 Ni 0.611 0.889 0.111
10 Ni 0.389 0.111 0.889
11 Ni 0.111 0.611 0.889
12 Ni 0.889 0.389 0.111

## Properties
formation energy	1.27	eV per formula unit


Record 3
Below is a geometry-optimized Sc3Ni structure, with properties calculated at the PBE level.

a b c (Å): 3.307 9.196 3.307
angles (deg): 100.36 60.00 100.36
Element x y z (fractional)
1 Ni 0.000 0.000 0.000
2 Sc 0.268 0.803 0.268
3 Sc 0.500 0.500 0.500
4 Sc 0.732 0.197 0.732

## Properties
formation energy	-0.21	eV per formula unit


Record 4
Below is a geometry-optimized Sc3Ni structure, with properties calculated at the PBE level.

a b c (Å): 4.311 5.927 6.190
angles (deg): 90.00 90.00 90.00
Element x y z (fractional)
1 Sc 0.500 0.592 0.000
2 Sc 0.000 0.408 0.500
3 Sc 0.000 0.839 0.258
4 Sc 0.000 0.839 0.742
5 Sc 0.500 0.161 0.758
6 Sc 0.500 0.161 0.242
7 Ni 0.000 0.310 0.000
8 Ni 0.500 0.690 0.500

## Properties
formation energy	-0.31	eV per formula unit


Record 5
Below is a geometry-optimized Sc5Ni3 structure, with properties calculated at the PBE level.

a b c (Å): 5.758 10.136 10.136
angles (deg): 90.00 90.00 90.00
Element x y z (fractional)
1 Sc 0.368 0.291 0.087
2 Sc 0.868 0.291 0.913
3 Sc 0.868 0.709 0.087
4 Sc 0.368 0.709 0.913
5 Sc 0.868 0.587 0.791
6 Sc 0.368 0.587 0.209
7 Sc 0.368 0.413 0.791
8 Sc 0.868 0.413 0.209
9 Sc 0.632 0.209 0.413
10 Sc 0.132 0.209 0.587
11 Sc 0.132 0.791 0.413
12 Sc 0.632 0.791 0.587
13 Sc 0.132 0.913 0.709
14 Sc 0.632 0.913 0.291
15 Sc 0.632 0.087 0.709
16 Sc 0.132 0.087 0.291
17 Sc 0.500 0.000 0.000
18 Sc 0.000 0.000 0.000
19 Sc 0.000 0.500 0.500
20 Sc 0.500 0.500 0.500
21 Ni 0.250 0.844 0.156
22 Ni 0.750 0.844 0.844
23 Ni 0.750 0.156 0.156
24 Ni 0.250 0.156 0.844
25 Ni 0.750 0.656 0.344
26 Ni 0.250 0.656 0.656
27 Ni 0.250 0.344 0.344
28 Ni 0.750 0.344 0.656
29 Ni 0.117 0.500 0.000
30 Ni 0.617 0.500 0.000
31 Ni 0.883 0.000 0.500
32 Ni 0.383 0.000 0.500

## Properties
formation energy	-2.97	eV per formula unit
distance to the lowest polymorph of the same formula	0	meV/atom


Record 6
Below is a geometry-optimized ScNi2 structure, with properties calculated at the PBE level.

a b c (Å): 4.121 4.121 4.121
angles (deg): 60.00 60.00 60.00
Element x y z (fractional)
1 Ni 0.750 0.750 0.750
2 Ni 0.250 0.250 0.250
3 Sc 0.000 0.000 0.000

## Properties
formation energy	0.57	eV per formula unit


Record 7
Below is a geometry-optimized ScNi3 structure, with properties calculated at the PBE level.

a b c (Å): 4.559 4.559 4.559
angles (deg): 90.00 90.00 90.00
Element x y z (fractional)
1 Ni 0.500 0.000 0.000
2 Ni 0.000 0.500 0.000
3 Ni 0.000 0.000 0.500
4 Sc 0.000 0.000 0.000

## Properties
formation energy	6.47	eV per formula unit


Record 8
Below is a geometry-optimized ScNi7 structure, with properties calculated at the PBE level.

a b c (Å): 4.145 5.136 5.136
angles (deg): 120.00 90.00 90.00
Last column: magnetic moment on the atom in μB.
Element x y z (fractional)
1 Sc 0.000 0.000 0.000  -0.11
2 Ni 0.000 0.003 0.502  0.41
3 Ni 0.000 0.498 0.997  0.41
4 Ni 0.000 0.498 0.502  0.41
5 Ni 0.500 0.823 0.177  0.39
6 Ni 0.500 0.823 0.647  0.39
7 Ni 0.500 0.353 0.177  0.39
8 Ni 0.500 0.333 0.667  0.54

## Properties
formation energy	-1.13	eV per formula unit


Record 9
Below is a geometry-optimized ScNi3 structure, with properties calculated at the PBE level.

a b c (Å): 2.792 3.492 5.352
angles (deg): 90.00 90.00 90.00
Element x y z (fractional)
1 Ni 0.000 0.000 0.974
2 Ni 0.000 0.000 0.526
3 Ni 0.500 0.500 0.750
4 Sc 0.500 0.500 0.250

## Properties
formation energy	-0.88	eV per formula unit


Record 10
Below is a geometry-optimized ScNi6 structure, with properties calculated at the PBE level.

a b c (Å): 5.320 5.320 5.320
angles (deg): 109.47 109.47 109.47
Last column: magnetic moment on the atom in μB.
Element x y z (fractional)
1 Sc 0.000 0.000 0.000  -0.07
2 Ni 0.250 0.750 0.500  0.74
3 Ni 0.500 0.750 0.250  0.74
4 Ni 0.250 0.500 0.750  0.74
5 Ni 0.750 0.250 0.500  0.74
6 Ni 0.500 0.250 0.750  0.74
7 Ni 0.750 0.500 0.250  0.74

## Properties
formation energy	4.46	eV per formula unit
distance to the lowest polymorph of the same formula	835	meV/atom


Record 11
Below is a geometry-optimized ScNi2 structure, with properties calculated at the PBE level.

a b c (Å): 5.246 5.246 5.246
angles (deg): 126.35 126.35 79.32
Element x y z (fractional)
1 Sc 0.250 0.250 0.000
2 Sc 0.750 0.750 0.000
3 Ni 0.322 0.822 0.143
4 Ni 0.822 0.678 0.500
5 Ni 0.178 0.322 0.500
6 Ni 0.678 0.178 0.857

## Properties
formation energy	-0.84	eV per formula unit


Record 12
Below is a geometry-optimized Sc6Ni7 structure, with properties calculated at the PBE level.

a b c (Å): 9.541 9.541 9.541
angles (deg): 30.71 30.71 30.71
Element x y z (fractional)
1 Sc 0.945 0.945 0.945
2 Sc 0.055 0.055 0.055
3 Sc 0.839 0.839 0.839
4 Sc 0.161 0.161 0.161
5 Sc 0.668 0.668 0.668
6 Sc 0.332 0.332 0.332
7 Ni 0.412 0.902 0.412
8 Ni 0.902 0.412 0.412
9 Ni 0.412 0.412 0.902
10 Ni 0.588 0.098 0.588
11 Ni 0.588 0.588 0.098
12 Ni 0.098 0.588 0.588
13 Ni 0.500 0.500 0.500

## Properties
formation energy	-5.07	eV per formula unit